Record 1
# RbIn2SnGe | the Alexandria database | PBE-GGA | relaxed
# Theoretical density in g/cm3: 4.6
# Excess energy over the best structure of this formula in the dataset in meV/atom: 495
# ΔE_f in meV per atom: 409
# Uncorrected energy in eV/f.u.: -13.02
data_RbIn2SnGe
_cell_length_a 5.443
_cell_length_b 5.443
_cell_length_c 6.172
_cell_angle_alpha 90.00
_cell_angle_beta 90.00
_cell_angle_gamma 90.00
_space_group_name_H-M_alt 'P 1'
_space_group_IT_number 1
_space_group_name_Hall 'P 1'
loop_
_atom_site_label
_atom_site_type_symbol
_atom_site_fract_x
_atom_site_fract_y
_atom_site_fract_z
_atom_site_occupancy
Rb1 Rb 0.000 0.000 0.000 1
In1 In 0.000 0.500 0.500 1
In2 In 0.500 0.000 0.500 1
Sn1 Sn 0.500 0.500 0.000 1
Ge1 Ge 0.000 0.000 0.500 1

Record 2
# RbIn2SnGe | the Alexandria database | PBE-GGA | relaxed
# Theoretical density in g/cm3: 5.5
# Excess energy over the best structure of this formula in the dataset in meV/atom: 0
# ΔE_f in meV per atom: -86
# Uncorrected energy in eV/f.u.: -15.50
data_RbIn2SnGe
_cell_length_a 5.052
_cell_length_b 5.052
_cell_length_c 12.059
_cell_angle_alpha 90.00
_cell_angle_beta 90.00
_cell_angle_gamma 90.00
_space_group_name_H-M_alt 'P 1'
_space_group_IT_number 1
_space_group_name_Hall 'P 1'
loop_
_atom_site_label
_atom_site_type_symbol
_atom_site_fract_x
_atom_site_fract_y
_atom_site_fract_z
_atom_site_occupancy
Rb1 Rb 0.000 0.000 0.000 1
Rb2 Rb 0.500 0.500 0.500 1
In1 In 0.000 0.000 0.378 1
In2 In 0.000 0.000 0.622 1
In3 In 0.500 0.500 0.122 1
In4 In 0.500 0.500 0.878 1
Sn1 Sn 0.000 0.500 0.250 1
Sn2 Sn 0.500 0.000 0.750 1
Ge1 Ge 0.000 0.500 0.750 1
Ge2 Ge 0.500 0.000 0.250 1

Record 3
# RbIn2TcGe | the Alexandria database | PBE-GGA | relaxed
# Theoretical density in g/cm3: 5.8
# ΔE_f in meV per atom: -52
# Uncorrected energy in eV/f.u.: -21.69
data_RbIn2TcGe
_cell_length_a 5.324
_cell_length_b 5.324
_cell_length_c 4.888
_cell_angle_alpha 90.00
_cell_angle_beta 90.00
_cell_angle_gamma 90.00
_space_group_name_H-M_alt 'P 1'
_space_group_IT_number 1
_space_group_name_Hall 'P 1'
loop_
_atom_site_label
_atom_site_type_symbol
_atom_site_fract_x
_atom_site_fract_y
_atom_site_fract_z
_atom_site_occupancy
Rb1 Rb 0.000 0.000 0.000 1
In1 In 0.000 0.500 0.500 1
In2 In 0.500 0.000 0.500 1
Tc1 Tc 0.500 0.500 0.500 1
Ge1 Ge 0.500 0.500 0.000 1

Record 4
# RbInTcGe2 | the Alexandria database | PBE-GGA | relaxed
# Theoretical density in g/cm3: 5.7
# ΔE_f in meV per atom: 30
# Uncorrected energy in eV/f.u.: -23.16
data_RbInTcGe2
_cell_length_a 4.919
_cell_length_b 4.919
_cell_length_c 5.297
_cell_angle_alpha 90.00
_cell_angle_beta 90.00
_cell_angle_gamma 90.00
_space_group_name_H-M_alt 'P 1'
_space_group_IT_number 1
_space_group_name_Hall 'P 1'
loop_
_atom_site_label
_atom_site_type_symbol
_atom_site_fract_x
_atom_site_fract_y
_atom_site_fract_z
_atom_site_occupancy
Rb1 Rb 0.000 0.000 0.000 1
In1 In 0.500 0.500 0.000 1
Tc1 Tc 0.500 0.500 0.500 1
Ge1 Ge 0.000 0.500 0.500 1
Ge2 Ge 0.500 0.000 0.500 1

Record 5
# RbInGeTe4 | the Alexandria database | PBE-GGA | relaxed
# Formation energy (no corrections) in eV per atom: -0.36
# Theoretical density in g/cm3: 4.5
# Uncorrected energy in eV/f.u.: -23.41
data_RbInGeTe4
_cell_length_a 7.146
_cell_length_b 8.324
_cell_length_c 9.859
_cell_angle_alpha 90.00
_cell_angle_beta 99.79
_cell_angle_gamma 90.00
_space_group_name_H-M_alt 'P 1'
_space_group_IT_number 1
_space_group_name_Hall 'P 1'
loop_
_atom_site_label
_atom_site_type_symbol
_atom_site_fract_x
_atom_site_fract_y
_atom_site_fract_z
_atom_site_occupancy
Rb1 Rb 0.210 0.250 0.066 1
Rb2 Rb 0.790 0.750 0.934 1
In1 In 0.345 0.250 0.670 1
In2 In 0.655 0.750 0.330 1
Ge1 Ge 0.154 0.750 0.317 1
Ge2 Ge 0.846 0.250 0.683 1
Te1 Te 0.080 0.004 0.707 1
Te2 Te 0.080 0.496 0.707 1
Te3 Te 0.339 0.750 0.108 1
Te4 Te 0.427 0.750 0.537 1
Te5 Te 0.573 0.250 0.463 1
Te6 Te 0.661 0.250 0.892 1
Te7 Te 0.920 0.504 0.293 1
Te8 Te 0.920 0.996 0.293 1

Record 6
# RbZn2InGe | the Alexandria database | PBE-GGA | relaxed
# Theoretical density in g/cm3: 4.2
# ΔE_f in meV per atom: 351
# Uncorrected energy in eV/f.u.: -9.12
data_RbZn2InGe
_cell_length_a 5.402
_cell_length_b 5.402
_cell_length_c 5.472
_cell_angle_alpha 90.00
_cell_angle_beta 90.00
_cell_angle_gamma 90.00
_space_group_name_H-M_alt 'P 1'
_space_group_IT_number 1
_space_group_name_Hall 'P 1'
loop_
_atom_site_label
_atom_site_type_symbol
_atom_site_fract_x
_atom_site_fract_y
_atom_site_fract_z
_atom_site_occupancy
Rb1 Rb 0.000 0.000 0.000 1
Zn1 Zn 0.000 0.500 0.500 1
Zn2 Zn 0.500 0.000 0.500 1
In1 In 0.500 0.500 0.500 1
Ge1 Ge 0.500 0.500 0.000 1

Record 7
# InRe2Ge | the Alexandria database | PBE-GGA | relaxed
# Theoretical density in g/cm3: 12.0
# Excess energy over the best structure of this formula in the dataset in meV/atom: 59
# ΔE_f in meV per atom: 733
# Uncorrected energy in eV/f.u.: -29.32
data_InRe2Ge
_cell_length_a 4.098
_cell_length_b 4.098
_cell_length_c 18.509
_cell_angle_alpha 90.00
_cell_angle_beta 90.00
_cell_angle_gamma 90.00
_space_group_name_H-M_alt 'P 1'
_space_group_IT_number 1
_space_group_name_Hall 'P 1'
loop_
_atom_site_label
_atom_site_type_symbol
_atom_site_fract_x
_atom_site_fract_y
_atom_site_fract_z
_atom_site_occupancy
In1 In 0.000 0.000 0.000 1
In2 In 0.000 0.500 0.250 1
In3 In 0.500 0.000 0.750 1
In4 In 0.500 0.500 0.500 1
Re1 Re 0.161 0.250 0.625 1
Re2 Re 0.250 0.661 0.875 1
Re3 Re 0.250 0.839 0.375 1
Re4 Re 0.339 0.250 0.125 1
Re5 Re 0.661 0.750 0.125 1
Re6 Re 0.750 0.161 0.375 1
Re7 Re 0.750 0.339 0.875 1
Re8 Re 0.839 0.750 0.625 1
Ge1 Ge 0.000 0.000 0.500 1
Ge2 Ge 0.000 0.500 0.750 1
Ge3 Ge 0.500 0.000 0.250 1
Ge4 Ge 0.500 0.500 0.000 1

Record 8
# InReGe | the Alexandria database | PBE-GGA | relaxed
# Theoretical density in g/cm3: 10.2
# Excess energy over the best structure of this formula in the dataset in meV/atom: 448
# ΔE_f in meV per atom: 650
# Uncorrected energy in eV/f.u.: -17.85
data_InReGe
_cell_length_a 6.240
_cell_length_b 6.240
_cell_length_c 6.240
_cell_angle_alpha 90.00
_cell_angle_beta 90.00
_cell_angle_gamma 90.00
_space_group_name_H-M_alt 'P 1'
_space_group_IT_number 1
_space_group_name_Hall 'P 1'
loop_
_atom_site_label
_atom_site_type_symbol
_atom_site_fract_x
_atom_site_fract_y
_atom_site_fract_z
_atom_site_occupancy
In1 In 0.000 0.000 0.000 1
In2 In 0.000 0.500 0.500 1
In3 In 0.500 0.000 0.500 1
In4 In 0.500 0.500 0.000 1
Re1 Re 0.250 0.250 0.750 1
Re2 Re 0.250 0.750 0.250 1
Re3 Re 0.750 0.250 0.250 1
Re4 Re 0.750 0.750 0.750 1
Ge1 Ge 0.000 0.000 0.500 1
Ge2 Ge 0.000 0.500 0.000 1
Ge3 Ge 0.500 0.000 0.000 1
Ge4 Ge 0.500 0.500 0.500 1